[1]
# CrCoTc2

An optimized crystal structure of CrCoTc2 (PBE, the Alexandria database). Values from VASP.

Structure (Quantum ESPRESSO input):
```
&SYSTEM
  ibrav = 0, nat = 4, ntyp = 3
/
ATOMIC_SPECIES
Cr 52.00 Cr.upf
Co 58.93 Co.upf
Tc 98.00 Tc.upf
CELL_PARAMETERS angstrom
2.627 0.000 0.000
0.000 2.627 0.000
0.000 0.000 7.463
ATOMIC_POSITIONS crystal
Cr 0.000 0.000 0.000
Co 0.000 0.000 0.500
Tc 0.500 0.500 0.254
Tc 0.500 0.500 0.746
```

Results
energy of formation	127	meV per atom
relative energy among the computed polymorphs	65	meV per atom

***

[2]
# LaErBe2Pd5

An optimized crystal structure of LaErBe2Pd5 (PBE, the Alexandria database). Values from VASP.

Structure (Quantum ESPRESSO input):
```
&SYSTEM
  ibrav = 0, nat = 9, ntyp = 4
/
ATOMIC_SPECIES
La 138.91 La.upf
Er 167.26 Er.upf
Be 9.01 Be.upf
Pd 106.42 Pd.upf
CELL_PARAMETERS angstrom
4.093 0.000 0.000
0.000 4.093 0.000
0.000 0.000 9.082
ATOMIC_POSITIONS crystal
La 0.000 0.000 0.000
Er 0.000 0.000 0.500
Be 0.500 0.500 0.371
Be 0.500 0.500 0.629
Pd 0.000 0.500 0.252
Pd 0.000 0.500 0.748
Pd 0.500 0.000 0.252
Pd 0.500 0.000 0.748
Pd 0.500 0.500 0.000
```

Results
energy of formation	-695	meV per atom

***

[3]
# Y2Si5Pt3

An optimized crystal structure of Y2Si5Pt3 (PBE, the Alexandria database). Values from VASP.

Structure (Quantum ESPRESSO input):
```
&SYSTEM
  ibrav = 0, nat = 20, ntyp = 3
/
ATOMIC_SPECIES
Y 88.91 Y.upf
Si 28.09 Si.upf
Pt 195.08 Pt.upf
CELL_PARAMETERS angstrom
5.836 -5.692 0.000
5.836 5.692 0.000
-3.128 0.000 5.187
ATOMIC_POSITIONS crystal
Y 0.101 0.359 0.229
Y 0.359 0.101 0.729
Y 0.641 0.899 0.271
Y 0.899 0.641 0.771
Si 0.000 0.000 0.250
Si 0.000 0.000 0.750
Si 0.236 0.463 0.849
Si 0.272 0.728 0.250
Si 0.272 0.728 0.750
Si 0.463 0.236 0.349
Si 0.537 0.764 0.651
Si 0.728 0.272 0.250
Si 0.728 0.272 0.750
Si 0.764 0.537 0.151
Pt 0.024 0.750 0.387
Pt 0.250 0.976 0.113
Pt 0.500 0.500 0.250
Pt 0.500 0.500 0.750
Pt 0.750 0.024 0.887
Pt 0.976 0.250 0.613
```

Results
ΔE_f (raw)	-0.973	eV per atom

***

DOS at the Fermi energy list, top to bottom, in states/eV per cell: 4.99; 2.99; 4.32